# UGe2S8 (PBE, relaxed)
# total DFT energy (no corrections): -5.33 eV/atom
# mass density: 3308 kg/m³
# energy relative to the elements, uncorrected: -0.46 eV/atom
data_UGe2S8
_cell_length_a 9.652
_cell_length_b 11.026
_cell_length_c 6.070
_cell_angle_alpha 90.00
_cell_angle_beta 96.06
_cell_angle_gamma 90.00
_symmetry_space_group_name_H-M 'C 1 2/m 1'
_symmetry_Int_Tables_number 12
loop_
_symmetry_equiv_pos_as_xyz
'x,y,z'
'-x,-y,-z'
'-x,y,-z'
'x,-y,z'
'x+1/2,y+1/2,z'
'-x+1/2,-y+1/2,-z'
'-x+1/2,y+1/2,-z'
'x+1/2,-y+1/2,z'
loop_
_atom_site_label
_atom_site_fract_x
_atom_site_fract_y
_atom_site_fract_z
U1 0.000 0.000 0.000
Ge1 0.223 0.000 0.442
S1 0.056 0.500 0.657
S2 0.112 0.159 0.270
S3 0.232 0.000 0.806